No. 1
This record from Alexandria describes a relaxed Tb5Dy4Sc3 crystal. The functional is PBE.

Cell lengths 5.704, 8.474, 9.352 Å; angles 106.21, 72.24, 70.33 degrees
Last column: magnetic moment on the atom in μB.
Fractional positions:
Sc 0.519 0.695 0.268  0.01
Tb 0.795 0.531 0.880  0.01
Sc 0.481 0.305 0.732  0.01
Tb 0.364 0.061 0.211  0.01
Dy 0.837 0.946 0.379  0.00
Dy 0.141 0.777 0.941  0.00
Tb 0.205 0.469 0.120  0.01
Dy 0.859 0.223 0.059  0.00
Sc 0.000 0.500 0.500  0.19
Dy 0.163 0.054 0.621  0.00
Tb 0.636 0.939 0.789  0.01
Tb 0.500 0.500 0.500  0.14

No. 2
This record from Alexandria describes a relaxed PmSc2Ni crystal. The functional is PBE.

Cell lengths 3.579, 3.579, 9.039 Å; angles 78.58, 78.58, 60.00 degrees
Fractional positions:
Pm 0.500 0.500 0.500
Sc 0.277 0.277 0.170
Sc 0.723 0.723 0.830
Ni 0.000 0.000 0.000

No. 3
This record from Alexandria describes a relaxed ZrP2Ru crystal. The functional is PBE.

Cell lengths 4.688, 4.688, 4.588 Å; angles 76.80, 76.80, 39.44 degrees
Fractional positions:
Ru 0.484 0.484 0.601
Zr 0.255 0.255 0.194
P 0.999 0.999 0.009
P 0.762 0.762 0.697

| no. | calculated formation energy (eV per atom) |
| --- | --- |
| 1 | 0.2131 |
| 2 | -0.0663 |
| 3 | -0.6286 |